# 1
This record from the Alexandria database describes a relaxed structure of InTeRh2. The functional is PBE.

Results
magnetic moment: 0.00 μB per atom
energy relative to the elements, uncorrected: -0.5 eV/f.u.

Geometry as CIF:
```
data_InTeRh2
_chemical_formula_sum 'In3 Te3 Rh6'
_cell_length_a 3.2833
_cell_length_b 3.2833
_cell_length_c 24.0330
_cell_angle_alpha 90.00
_cell_angle_beta 90.00
_cell_angle_gamma 120.00
_space_group_name_H-M_alt 'R 3 m'
_space_group_IT_number 160
_space_group_name_Hall 'R 3 -2"'
loop_
_atom_site_label
_atom_site_fract_x
_atom_site_fract_y
_atom_site_fract_z
In1 0.0000 0.0000 0.0000
Te1 0.0000 0.0000 0.8332
Rh1 0.0000 0.0000 0.2477
Rh2 0.0000 0.0000 0.4188
```

=====

# 2
This record from the Alexandria database describes a relaxed structure of In2TeRh. The functional is PBE.

Results
magnetic moment: 0.00 μB per atom
energy relative to the elements, uncorrected: -0.8 eV/f.u.

Geometry as CIF:
```
data_In2TeRh
_chemical_formula_sum 'In4 Te2 Rh2'
_cell_length_a 9.928
_cell_length_b 3.241
_cell_length_c 6.525
_cell_angle_alpha 90.00
_cell_angle_beta 111.35
_cell_angle_gamma 90.00
_space_group_name_H-M_alt 'C 1 m 1'
_space_group_IT_number 8
loop_
_space_group_symop_operation_xyz
'x,y,z'
'x,-y,z'
'x+1/2,y+1/2,z'
'x+1/2,-y+1/2,z'
loop_
_atom_site_label
_atom_site_fract_x
_atom_site_fract_y
_atom_site_fract_z
In1 0.000 0.000 0.000
In2 0.186 0.000 0.666
Te1 0.363 0.000 0.373
Rh1 0.231 0.500 0.027
```

=====

# 3
This record from the Alexandria database describes a relaxed structure of In2TeRh. The functional is PBE.

Results
magnetic moment: 0.00 μB per atom
energy relative to the elements, uncorrected: 0.5 eV/f.u.

Geometry as CIF:
```
data_In2TeRh
_chemical_formula_sum 'In8 Te4 Rh4'
_cell_length_a 6.553
_cell_length_b 6.553
_cell_length_c 12.190
_cell_angle_alpha 90.00
_cell_angle_beta 90.00
_cell_angle_gamma 90.00
_space_group_name_H-M_alt 'I -4 2 d'
_space_group_IT_number 122
_space_group_name_Hall 'I -4 2bw'
loop_
_atom_site_label
_atom_site_fract_x
_atom_site_fract_y
_atom_site_fract_z
In1 0.201 0.250 0.125
Te1 0.000 0.000 0.500
Rh1 0.000 0.000 0.000
```

=====

# 4
This record from the Alexandria database describes a relaxed structure of In2TeRh. The functional is PBE.

Results
magnetic moment: 0.00 μB per atom
energy relative to the elements, uncorrected: 0.4 eV/f.u.

Geometry as CIF:
```
data_In2TeRh
_chemical_formula_sum 'In4 Te2 Rh2'
_cell_length_a 5.887
_cell_length_b 8.094
_cell_length_c 3.743
_cell_angle_alpha 90.00
_cell_angle_beta 90.00
_cell_angle_gamma 90.00
_space_group_name_H-M_alt 'C m m m'
_space_group_IT_number 65
_space_group_name_Hall '-C 2 2'
loop_
_atom_site_label
_atom_site_fract_x
_atom_site_fract_y
_atom_site_fract_z
In1 0.250 0.250 0.000
Te1 0.000 0.000 0.500
Rh1 0.000 0.500 0.500
```

=====

# 5
This record from the Alexandria database describes a relaxed structure of InTe2Rh. The functional is PBE.

Results
magnetic moment: 0.00 μB per atom
energy relative to the elements, uncorrected: -0.3 eV/f.u.

Geometry as CIF:
```
data_InTe2Rh
_chemical_formula_sum 'In2 Te4 Rh2'
_cell_length_a 3.224
_cell_length_b 4.896
_cell_length_c 12.461
_cell_angle_alpha 90.00
_cell_angle_beta 90.00
_cell_angle_gamma 90.00
_space_group_name_H-M_alt 'I m m 2'
_space_group_IT_number 44
loop_
_space_group_symop_operation_xyz
'x,y,z'
'-x,-y,z'
'-x,y,z'
'x,-y,z'
'x+1/2,y+1/2,z+1/2'
'-x+1/2,-y+1/2,z+1/2'
'-x+1/2,y+1/2,z+1/2'
'x+1/2,-y+1/2,z+1/2'
loop_
_atom_site_label
_atom_site_fract_x
_atom_site_fract_y
_atom_site_fract_z
In1 0.000 0.000 0.000
Te1 0.000 0.000 0.631
Te2 0.000 0.500 0.828
Rh1 0.000 0.500 0.303
```

=====

# 6
This record from the Alexandria database describes a relaxed structure of InTe3Rh. The functional is PBE.

Results
magnetic moment: 0.00 μB per atom
energy relative to the elements, uncorrected: 0.9 eV/f.u.

Geometry as CIF:
```
data_InTe3Rh
_chemical_formula_sum 'In1 Te3 Rh1'
_cell_length_a 5.306
_cell_length_b 5.306
_cell_length_c 5.306
_cell_angle_alpha 90.00
_cell_angle_beta 90.00
_cell_angle_gamma 90.00
_space_group_name_H-M_alt 'P m -3 m'
_space_group_IT_number 221
_space_group_name_Hall '-P 4 2 3'
loop_
_atom_site_label
_atom_site_fract_x
_atom_site_fract_y
_atom_site_fract_z
In1 0.000 0.000 0.000
Te1 0.000 0.500 0.500
Rh1 0.500 0.500 0.500
```

=====

# 7
This record from the Alexandria database describes a relaxed structure of InTe4Rh. The functional is PBE.

Results
magnetic moment: 0.22 μB per atom
energy relative to the elements, uncorrected: 4.2 eV/f.u.

Geometry as CIF:
```
data_InTe4Rh
_chemical_formula_sum 'In4 Te16 Rh4'
_cell_length_a 8.928
_cell_length_b 8.928
_cell_length_c 8.928
_cell_angle_alpha 90.00
_cell_angle_beta 90.00
_cell_angle_gamma 90.00
_space_group_name_H-M_alt 'F -4 3 m'
_space_group_IT_number 216
_space_group_name_Hall 'F -4 2 3'
loop_
_atom_site_label
_atom_site_fract_x
_atom_site_fract_y
_atom_site_fract_z
In1 0.000 0.000 0.000
Te1 0.124 0.124 0.376
Rh1 0.250 0.250 0.750
```

=====

# 8
This record from the Alexandria database describes a relaxed structure of InTeRh2. The functional is PBE.

Results
magnetic moment: 0.00 μB per atom
energy relative to the elements, uncorrected: -1.4 eV/f.u.

Geometry as CIF:
```
data_InTeRh2
_chemical_formula_sum 'In4 Te4 Rh8'
_cell_length_a 8.053
_cell_length_b 6.504
_cell_length_c 5.888
_cell_angle_alpha 90.00
_cell_angle_beta 90.13
_cell_angle_gamma 90.00
_space_group_name_H-M_alt 'P 1 21/c 1'
_space_group_IT_number 14
loop_
_space_group_symop_operation_xyz
'x,y,z'
'-x,-y,-z'
'-x,y+1/2,-z+1/2'
'x,-y+1/2,z+1/2'
loop_
_atom_site_label
_atom_site_fract_x
_atom_site_fract_y
_atom_site_fract_z
In1 0.118 0.108 0.203
Te1 0.364 0.579 0.303
Rh1 0.141 0.700 0.008
Rh2 0.394 0.205 0.490
```

=====

# 9
This record from the Alexandria database describes a relaxed structure of InTe2Rh. The functional is PBE.

Results
magnetic moment: 0.00 μB per atom
energy relative to the elements, uncorrected: -0.8 eV/f.u.

Geometry as CIF:
```
data_InTe2Rh
_chemical_formula_sum 'In3 Te6 Rh3'
_cell_length_a 3.8987
_cell_length_b 3.8987
_cell_length_c 27.8771
_cell_angle_alpha 90.00
_cell_angle_beta 90.00
_cell_angle_gamma 120.00
_space_group_name_H-M_alt 'R -3 m'
_space_group_IT_number 166
_space_group_name_Hall '-R 3 2"'
loop_
_atom_site_label
_atom_site_fract_x
_atom_site_fract_y
_atom_site_fract_z
In1 0.0000 0.0000 0.0000
Te1 0.0000 0.0000 0.1164
Rh1 0.0000 0.0000 0.5000
```

=====

# 10
This record from the Alexandria database describes a relaxed structure of InTe8Rh4. The functional is PBE.

Results
magnetic moment: 0.00 μB per atom
energy relative to the elements, uncorrected: -4.8 eV/f.u.

Geometry as CIF:
```
data_InTe8Rh4
_chemical_formula_sum 'In4 Te32 Rh16'
_cell_length_a 11.470
_cell_length_b 11.470
_cell_length_c 11.470
_cell_angle_alpha 90.00
_cell_angle_beta 90.00
_cell_angle_gamma 90.00
_space_group_name_H-M_alt 'F -4 3 m'
_space_group_IT_number 216
_space_group_name_Hall 'F -4 2 3'
loop_
_atom_site_label
_atom_site_fract_x
_atom_site_fract_y
_atom_site_fract_z
In1 0.000 0.000 0.000
Te1 0.108 0.108 0.392
Te2 0.143 0.143 0.857
Rh1 0.122 0.122 0.622
```

=====

# 11
This record from the Alexandria database describes a relaxed structure of In2TeRh. The functional is PBE.

Results
magnetic moment: 0.00 μB per atom
energy relative to the elements, uncorrected: 0.6 eV/f.u.

Geometry as CIF:
```
data_In2TeRh
_chemical_formula_sum 'In4 Te2 Rh2'
_cell_length_a 4.406
_cell_length_b 4.406
_cell_length_c 9.052
_cell_angle_alpha 90.00
_cell_angle_beta 90.00
_cell_angle_gamma 90.00
_space_group_name_H-M_alt 'I 4/m m m'
_space_group_IT_number 139
_space_group_name_Hall '-I 4 2'
loop_
_atom_site_label
_atom_site_fract_x
_atom_site_fract_y
_atom_site_fract_z
In1 0.000 0.500 0.250
Te1 0.000 0.000 0.000
Rh1 0.000 0.000 0.500
```

=====

# 12
This record from the Alexandria database describes a relaxed structure of In2Te2Rh. The functional is PBE.

Results
magnetic moment: 0.00 μB per atom
energy relative to the elements, uncorrected: -0.8 eV/f.u.

Geometry as CIF:
```
data_In2Te2Rh
_chemical_formula_sum 'In8 Te8 Rh4'
_cell_length_a 4.469
_cell_length_b 4.469
_cell_length_c 27.073
_cell_angle_alpha 90.00
_cell_angle_beta 90.00
_cell_angle_gamma 90.00
_space_group_name_H-M_alt 'I 41/a m d'
_space_group_IT_number 141
loop_
_space_group_symop_operation_xyz
'x,y,z'
'-x,-y,-z'
'-y+1/4,x+3/4,z+1/4'
'y+1/4,-x+3/4,-z+1/4'
'-x+1/2,-y,z+1/2'
'x+1/2,y,-z+1/2'
'y+1/4,-x+1/4,z+3/4'
'-y+1/4,x+1/4,-z+3/4'
'x,-y,-z'
'-x,y,z'
'-y+1/4,-x+1/4,-z+3/4'
'y+1/4,x+1/4,z+3/4'
'-x+1/2,y,-z+1/2'
'x+1/2,-y,z+1/2'
'y+1/4,x+3/4,-z+1/4'
'-y+1/4,-x+3/4,z+1/4'
'x+1/2,y+1/2,z+1/2'
'-x+1/2,-y+1/2,-z+1/2'
'-y+3/4,x+1/4,z+3/4'
'y+3/4,-x+1/4,-z+3/4'
'-x,-y+1/2,z'
'x,y+1/2,-z'
'y+3/4,-x+3/4,z+1/4'
'-y+3/4,x+3/4,-z+1/4'
'x+1/2,-y+1/2,-z+1/2'
'-x+1/2,y+1/2,z+1/2'
'-y+3/4,-x+3/4,-z+1/4'
'y+3/4,x+3/4,z+1/4'
'-x,y+1/2,-z'
'x,-y+1/2,z'
'y+3/4,x+1/4,-z+3/4'
'-y+3/4,-x+1/4,z+3/4'
loop_
_atom_site_label
_atom_site_fract_x
_atom_site_fract_y
_atom_site_fract_z
In1 0.000 0.250 0.046
Te1 0.000 0.250 0.177
Rh1 0.000 0.250 0.875
```